TlNiMo2 (PBE-GGA, optimized geometry); DOS at the Fermi energy = 8.529 states/eV/cell; SG = No. 8; formation energy from the elements = 2.14 eV/f.u.; ΔE to the lowest computed polymorph = 0.167 eV per atom; total magnetization = 0.00 μB/f.u.
1.0
9.3100 0.0000 0.0000
0.0000 2.8017 0.0000
-0.7802 0.0000 5.0488
Tl Ni Mo
2 2 4
direct
0.0000 0.0000 0.0000
0.5000 0.5000 0.0000
0.2495 0.0000 0.7672
0.7495 0.5000 0.7672
0.0240 0.5000 0.5142
0.2612 0.5000 0.3061
0.5240 0.0000 0.5142
0.7612 0.0000 0.3061

***

TlNi2Mo (PBE-GGA, optimized geometry); DOS at the Fermi energy = 4.929 states/eV/cell; SG = No. 123; formation energy from the elements = 1.12 eV/f.u.; ΔE to the lowest computed polymorph = 0.011 eV per atom; total magnetization = 0.00 μB/f.u.
1.0
2.8697 0.0000 0.0000
0.0000 2.8697 0.0000
0.0000 0.0000 7.3666
Tl Ni Mo
1 2 1
direct
0.0000 0.0000 0.0000
0.5000 0.5000 0.2750
0.5000 0.5000 0.7250
0.0000 0.0000 0.5000

***

formation energy from the elements of number 2 (TlNi2Mo)?
1.12 eV/f.u.

***

Copy entry 1 word for word.
TlNiMo2 (PBE-GGA, optimized geometry); DOS at the Fermi energy = 8.529 states/eV/cell; SG = No. 8; formation energy from the elements = 2.14 eV/f.u.; ΔE to the lowest computed polymorph = 0.167 eV per atom; total magnetization = 0.00 μB/f.u.
1.0
9.3100 0.0000 0.0000
0.0000 2.8017 0.0000
-0.7802 0.0000 5.0488
Tl Ni Mo
2 2 4
direct
0.0000 0.0000 0.0000
0.5000 0.5000 0.0000
0.2495 0.0000 0.7672
0.7495 0.5000 0.7672
0.0240 0.5000 0.5142
0.2612 0.5000 0.3061
0.5240 0.0000 0.5142
0.7612 0.0000 0.3061

***

Which value of total magnetization does entry 2 give?
0.00 μB/f.u.